Entry 1:
This record from Alexandria via LeMat-Bulk describes a relaxed structure of Nd5Al2Tl2. The functional is PBE.

Cell lengths 9.3038, 9.3038, 8.0218 Å; angles 90.00, 90.00, 52.07 degrees
With the nearest neighbours (Å) after each atom.
Atoms (fractional coordinates):
Nd  0.0000  0.0000  0.0000  4 Al 3.22-3.29
Nd  0.0563  0.6772  0.6779  3 Al 3.21-3.37, 3 Tl 3.24-3.34
Nd  0.1772  0.5563  0.1779  3 Al 3.21-3.37, 3 Tl 3.24-3.34
Nd  0.3228  0.9437  0.6779  3 Al 3.21-3.37, 3 Tl 3.24-3.34
Nd  0.4437  0.8228  0.1779  3 Al 3.21-3.37, 3 Tl 3.24-3.34
Nd  0.5000  0.5000  0.5000  4 Al 3.22-3.29
Nd  0.5563  0.1772  0.8221  3 Al 3.21-3.37, 3 Tl 3.24-3.34
Nd  0.6772  0.0563  0.3221  3 Al 3.21-3.37, 3 Tl 3.24-3.34
Nd  0.8228  0.4437  0.8221  3 Al 3.21-3.37, 3 Tl 3.24-3.34
Nd  0.9437  0.3228  0.3221  3 Al 3.21-3.37, 3 Tl 3.24-3.34
Al  0.1132  0.8868  0.3847  1 Al 2.62
Al  0.3868  0.6132  0.8847  1 Al 2.62
Al  0.6132  0.3868  0.1153  1 Al 2.62
Al  0.8868  0.1132  0.6153  1 Al 2.62
Tl  0.2191  0.2191  0.0000  6 Nd 3.24-3.34
Tl  0.2809  0.2809  0.5000  6 Nd 3.24-3.34
Tl  0.7191  0.7191  0.5000  6 Nd 3.24-3.34
Tl  0.7809  0.7809  0.0000  6 Nd 3.24-3.34

density of states at the Fermi level: 18.51 states/eV/cell
E_form: -7.07 kcal/mol of atoms

---

Entry 2:
This record from Alexandria via LeMat-Bulk describes a relaxed structure of SiSbPb. The functional is PBE.

Cell lengths 6.4130, 6.4130, 6.4130 Å; angles 147.08, 147.08, 47.24 degrees
With the nearest neighbours (Å) after each atom.
Atoms (fractional coordinates):
Si  0.0000  0.0000  0.0000  4 Sb 2.86
Sb  0.3936  0.3936  0.0000  4 Si 2.86, 1 Pb 3.17
Pb  0.6630  0.6630  0.0000  1 Sb 3.17, 4 Si 3.21

distance to the lowest polymorph of the same formula: 0.059 eV per atom
density of states at the Fermi level: 1.37 states/eV/cell
energy relative to the elements, uncorrected: 0.287 eV per atom

---

Entry 3:
This record from Alexandria via LeMat-Bulk describes a relaxed structure of Tb9PmSc2. The functional is PBE.

Cell lengths 4.9824, 4.9824, 14.9082 Å; angles 90.00, 90.00, 90.00 degrees
With the nearest neighbours (Å) after each atom.
Atoms (fractional coordinates):
Tb  0.0000  0.0000  0.0000  4 Pm 3.52, 8 Tb 3.58
Tb  0.0000  0.0000  0.3373  8 Tb 3.48-3.50, 4 Sc 3.52
Tb  0.0000  0.0000  0.6627  8 Tb 3.48-3.50, 4 Sc 3.52
Tb  0.0000  0.5000  0.1727  2 Sc 3.49, 8 Tb 3.50-3.58, 2 Pm 3.58
Tb  0.0000  0.5000  0.5000  8 Tb 3.48-3.52, 4 Sc 3.49
Tb  0.0000  0.5000  0.8273  2 Sc 3.49, 8 Tb 3.50-3.58, 2 Pm 3.58
Tb  0.5000  0.0000  0.1727  2 Sc 3.49, 8 Tb 3.50-3.58, 2 Pm 3.58
Tb  0.5000  0.0000  0.5000  8 Tb 3.48-3.52, 4 Sc 3.49
Tb  0.5000  0.0000  0.8273  2 Sc 3.49, 8 Tb 3.50-3.58, 2 Pm 3.58
Pm  0.5000  0.5000  0.0000  12 Tb 3.52-3.58
Sc  0.5000  0.5000  0.3362  12 Tb 3.49-3.52
Sc  0.5000  0.5000  0.6638  12 Tb 3.49-3.52

density of states at the Fermi level: 18.75 states/eV/cell
E_form: 0.83 kcal/mol of atoms

---

Entry 4:
This record from Alexandria via LeMat-Bulk describes a relaxed structure of PrLuCuAg. The functional is PBE.

Cell lengths 5.1042, 5.1042, 5.1042 Å; angles 60.00, 60.00, 60.00 degrees
With the nearest neighbours (Å) after each atom.
Atoms (fractional coordinates):
Pr  0.0000  0.0000  0.0000  4 Cu 3.13, 4 Ag 3.13
Lu  0.5000  0.5000  0.5000  4 Cu 3.13, 4 Ag 3.13
Cu  0.2500  0.2500  0.2500  4 Pr 3.13, 4 Lu 3.13
Ag  0.7500  0.7500  0.7500  4 Lu 3.13, 4 Pr 3.13

density of states at the Fermi level: 4.17 states/eV/cell
E_form: -4.81 kcal/mol of atoms

---

> The lowest density of states at the Fermi level belongs to which entry?

SiSbPb